DFT (PBE) results for crystalline YSc2Cr at its relaxed geometry.

Values from the calculation:
- Formation enthalpy at 0 K: 172 kJ/mol of formula units

a = 10.843 Å, b = 10.843 Å, c = 10.843 Å
α = 16.93°, β = 16.93°, γ = 16.93°
Last column: magnetic moment on the atom in μB.
Sites, in units of the cell vectors:
Y 0.000 0.000 0.000  -0.26
Cr 0.500 0.500 0.500  2.33
Sc 0.899 0.899 0.899  -0.07
Sc 0.101 0.101 0.101  -0.07

DFT (PBE) results for crystalline Li3Ac2Zn2 at its relaxed geometry.

Values from the calculation:
- Formation enthalpy at 0 K: -80 kJ/mol of formula units

a = 4.327 Å, b = 6.168 Å, c = 8.011 Å
α = 115.11°, β = 90.00°, γ = 110.53°
Sites, in units of the cell vectors:
Li 0.500 0.000 0.000
Li 0.651 0.301 0.431
Li 0.349 0.699 0.569
Ac 0.867 0.734 0.227
Ac 0.133 0.266 0.773
Zn 0.859 0.719 0.805
Zn 0.141 0.281 0.195

DFT (PBE) results for crystalline Ag5RhBr8 at its relaxed geometry.

Values from the calculation:
- Formation energy without anion corrections: -199 meV/atom

a = 8.692 Å, b = 8.692 Å, c = 8.692 Å
α = 119.58°, β = 119.58°, γ = 90.73°
Last column: magnetic moment on the atom in μB.
Sites, in units of the cell vectors:
Ag 0.978 0.479 0.956  0.03
Ag 0.521 0.477 0.499  0.03
Ag 0.523 0.022 0.044  0.03
Ag 0.500 0.500 0.000  -0.01
Ag 0.978 0.022 0.501  0.03
Rh 0.250 0.750 0.500  1.87
Br 0.127 0.866 0.262  0.18
Br 0.134 0.395 0.261  0.18
Br 0.608 0.876 0.268  0.00
Br 0.124 0.392 0.732  0.00
Br 0.660 0.392 0.268  0.00
Br 0.135 0.873 0.739  0.18
Br 0.605 0.865 0.738  0.18
Br 0.608 0.340 0.732  0.00

DFT (PBE) results for crystalline MnTcSnGe2 at its relaxed geometry.

Values from the calculation:
- Formation enthalpy at 0 K: 391 kJ/mol of formula units

a = 4.576 Å, b = 5.057 Å, c = 4.576 Å
α = 90.00°, β = 90.00°, γ = 90.00°
Last column: magnetic moment on the atom in μB.
Sites, in units of the cell vectors:
Ge 0.000 0.000 0.500  -0.06
Ge 0.500 0.000 0.000  -0.07
Mn 0.000 0.000 0.000  1.31
Sn 0.000 0.500 0.000  -0.05
Tc 0.500 0.500 0.500  2.81

DFT (PBE) results for crystalline SrTaSi3 at its relaxed geometry.

Values from the calculation:
- Formation energy without anion corrections: -1 meV/atom

a = 4.917 Å, b = 4.917 Å, c = 4.917 Å
α = 90.00°, β = 90.00°, γ = 90.00°
Sites, in units of the cell vectors:
Sr 0.500 0.500 0.500
Si 0.000 0.500 0.000
Si 0.000 0.000 0.500
Si 0.500 0.000 0.000
Ta 0.000 0.000 0.000

DFT (PBE) results for crystalline AgSnF6 at its relaxed geometry.

Values from the calculation:
- Formation energy without anion corrections: -1947 meV/atom

a = 5.330 Å, b = 5.461 Å, c = 5.743 Å
α = 64.05°, β = 89.47°, γ = 61.34°
Last column: magnetic moment on the atom in μB.
Sites, in units of the cell vectors:
F 0.579 0.565 0.721  0.02
F 0.421 0.435 0.279  0.02
F 0.745 0.856 0.260  0.09
F 0.255 0.144 0.740  0.09
F 0.129 0.129 0.262  0.09
F 0.871 0.871 0.738  0.09
Ag 0.000 0.000 0.000  0.62
Sn 0.500 0.000 0.500  0.01

DFT (PBE) results for crystalline Pd5I12Br at its relaxed geometry.

Values from the calculation:
- Formation energy without anion corrections: -16 meV/atom

a = 7.257 Å, b = 7.300 Å, c = 12.657 Å
α = 85.10°, β = 80.10°, γ = 60.19°
Last column: magnetic moment on the atom in μB.
Sites, in units of the cell vectors:
Pd 0.500 0.000 0.500  0.49
Pd 0.166 0.667 0.500  0.55
Pd 0.834 0.333 0.500  0.55
Pd 0.664 0.671 0.000  -0.12
Pd 0.336 0.329 0.000  -0.12
I 0.864 0.000 0.380  0.22
I 0.136 0.000 0.620  0.22
I 0.622 0.000 0.863  -0.03
I 0.378 0.000 0.137  -0.03
I 0.429 0.603 0.868  -0.05
I 0.969 0.603 0.132  -0.05
I 0.031 0.397 0.868  -0.05
I 0.571 0.397 0.132  -0.05
I 0.464 0.335 0.620  0.19
I 0.799 0.665 0.620  0.19
I 0.201 0.335 0.380  0.19
I 0.536 0.665 0.380  0.19
Br 0.000 0.000 0.000  -0.13